No. 1
Ce2Sm3DyHo6 | PBE | relaxed

Summary:
As for the space group: C2/m (12). The value obtained for the size of the total moment is 0.1551 μB per atom. The energy relative to the elements is 4.3 kJ per mole of atoms. The energy comes out at -57.6 eV per cell.

a = 6.152 Å, b = 6.152 Å, c = 11.715 Å
α = 95.02°, β = 95.02°, γ = 119.98°
Atoms (fractional coordinates):
Ce: 0.334 0.666 0.000
Ce: 0.666 0.334 0.000
Sm: 0.166 0.834 0.500
Sm: 0.834 0.166 0.500
Sm: 0.500 0.500 0.500
Dy: 0.000 0.000 0.000
Ho: 0.917 0.582 0.753
Ho: 0.747 0.747 0.247
Ho: 0.083 0.418 0.247
Ho: 0.582 0.917 0.753
Ho: 0.253 0.253 0.753
Ho: 0.418 0.083 0.247



No. 2
CeSmDyHo2 | PBE | relaxed

Summary:
As for the space group: Pmma (51). The value obtained for the size of the total moment is 0.3388 μB per atom. The energy relative to the elements is 28.5 kJ per mole of atoms. The energy comes out at -45.9 eV per cell.

a = 6.841 Å, b = 8.055 Å, c = 5.884 Å
α = 90.00°, β = 90.00°, γ = 90.00°
Atoms (fractional coordinates):
Ce: 0.000 0.000 0.000
Ce: 0.000 0.000 0.500
Sm: 0.166 0.500 0.750
Sm: 0.834 0.500 0.250
Dy: 0.591 0.000 0.250
Dy: 0.409 0.000 0.750
Ho: 0.688 0.701 0.750
Ho: 0.688 0.299 0.750
Ho: 0.312 0.701 0.250
Ho: 0.312 0.299 0.250



No. 3
CeSmDy4Ho2 | PBE | relaxed

Summary:
As for the space group: P4/mmm (123). The value obtained for the size of the total moment is 0.1206 μB per atom. The energy relative to the elements is 4.4 kJ per mole of atoms. The energy comes out at -37.9 eV per cell.

a = 5.022 Å, b = 5.018 Å, c = 11.202 Å
α = 63.40°, β = 90.00°, γ = 90.00°
Atoms (fractional coordinates):
Ce: 0.000 0.500 0.500
Sm: 0.500 0.500 0.000
Dy: 0.000 0.752 0.748
Dy: 0.000 0.248 0.252
Dy: 0.500 0.747 0.253
Dy: 0.500 0.253 0.747
Ho: 0.000 0.000 0.000
Ho: 0.500 0.000 0.500



No. 4
Ce2Sm6Dy3Ho | PBE | relaxed

Summary:
As for the space group: C2/m (12). The value obtained for the size of the total moment is 0.1767 μB per atom. The energy relative to the elements is 5.0 kJ per mole of atoms. The energy comes out at -57.9 eV per cell.

a = 6.203 Å, b = 6.203 Å, c = 11.869 Å
α = 95.02°, β = 95.02°, γ = 120.00°
Atoms (fractional coordinates):
Ce: 0.333 0.667 0.000
Ce: 0.667 0.333 0.000
Sm: 0.916 0.581 0.751
Sm: 0.748 0.748 0.249
Sm: 0.084 0.419 0.249
Sm: 0.581 0.916 0.751
Sm: 0.252 0.252 0.751
Sm: 0.419 0.084 0.249
Dy: 0.166 0.834 0.500
Dy: 0.834 0.166 0.500
Dy: 0.500 0.500 0.500
Ho: 0.000 0.000 0.000



No. 5
Tb4CeDyHo2 | PBE | relaxed

Summary:
As for the space group: P2/m (10). The value obtained for the size of the total moment is 0.1006 μB per atom. The energy relative to the elements is 3.9 kJ per mole of atoms. The energy comes out at -37.9 eV per cell.

a = 3.539 Å, b = 6.133 Å, c = 11.760 Å
α = 80.01°, β = 90.00°, γ = 90.00°
Atoms (fractional coordinates):
Tb: 0.000 0.748 0.750
Tb: 0.000 0.252 0.250
Tb: 0.500 0.746 0.251
Tb: 0.500 0.254 0.749
Ce: 0.000 0.500 0.500
Dy: 0.500 0.500 0.000
Ho: 0.000 0.000 0.000
Ho: 0.500 0.000 0.500



No. 6
Tb2CeDy3Ho6 | PBE | relaxed

Summary:
As for the space group: C2/m (12). The value obtained for the size of the total moment is 0.0905 μB per atom. The energy relative to the elements is 3.4 kJ per mole of atoms. The energy comes out at -56.0 eV per cell.

a = 6.125 Å, b = 6.125 Å, c = 11.712 Å
α = 95.00°, β = 95.00°, γ = 119.97°
Atoms (fractional coordinates):
Tb: 0.333 0.667 0.000
Tb: 0.667 0.333 0.000
Ce: 0.000 0.000 0.000
Dy: 0.167 0.833 0.500
Dy: 0.833 0.167 0.500
Dy: 0.500 0.500 0.500
Ho: 0.916 0.585 0.750
Ho: 0.753 0.753 0.250
Ho: 0.084 0.415 0.250
Ho: 0.585 0.916 0.750
Ho: 0.247 0.247 0.750
Ho: 0.415 0.084 0.250



Copy entry 1 word for word.
Ce2Sm3DyHo6 | PBE | relaxed

Summary:
As for the space group: C2/m (12). The value obtained for the size of the total moment is 0.1551 μB per atom. The energy relative to the elements is 4.3 kJ per mole of atoms. The energy comes out at -57.6 eV per cell.

a = 6.152 Å, b = 6.152 Å, c = 11.715 Å
α = 95.02°, β = 95.02°, γ = 119.98°
Atoms (fractional coordinates):
Ce: 0.334 0.666 0.000
Ce: 0.666 0.334 0.000
Sm: 0.166 0.834 0.500
Sm: 0.834 0.166 0.500
Sm: 0.500 0.500 0.500
Dy: 0.000 0.000 0.000
Ho: 0.917 0.582 0.753
Ho: 0.747 0.747 0.247
Ho: 0.083 0.418 0.247
Ho: 0.582 0.917 0.753
Ho: 0.253 0.253 0.753
Ho: 0.418 0.083 0.247